[1]
## Er2AlSiNi6 (PBE-GGA)

Data for crystalline Er2AlSiNi6 at its relaxed geometry.

Geometry as extended XYZ:
```
10
Lattice="4.916 0.049 0.023 -0.078 7.899 -0.102 2.398 4.137 3.972" Properties=species:S:1:pos:R:3 pbc="T T T"
Er 4.870 3.759 1.998
Er 2.366 8.327 1.896
Ni 1.168 5.993 -0.022
Ni 3.628 6.019 -0.006
Ni 3.608 6.067 3.900
Ni 6.068 6.093 3.916
Ni 2.392 5.357 1.950
Ni 4.844 6.729 1.945
Si 0.000 0.000 0.000
Al 2.419 3.974 -0.039
```

Crystal system: monoclinic
Density of states at the Fermi level, states/eV/cell: 5.47
DFT total energy, eV/atom: -5.756
SG: No. 12
Raw formation energy, eV/atom: -0.46

***

[2]
## ScTlS (PBE-GGA)

Data for crystalline ScTlS at its relaxed geometry.

Geometry as extended XYZ:
```
6
Lattice="-2.734 -0.339 1.916 1.943 0.072 2.785 -0.774 12.634 -1.681" Properties=species:S:1:pos:R:3 pbc="T T T"
Tl -0.499 0.626 2.294
Tl -0.384 3.428 0.037
S -0.931 9.756 0.470
S 0.329 6.767 1.739
Sc -2.101 7.509 1.343
Sc -1.433 10.739 2.866
```

Crystal system: triclinic
Density of states at the Fermi level, states/eV/cell: 3.48
Excess energy over the best structure of this formula in the dataset, meV/atom: 100
DFT total energy, eV/atom: -5.321
SG: No. 1
Raw formation energy, eV/atom: -1.05